Entry 1:
Ti4InSb after structural relaxation. Source: Alexandria via LeMat-Bulk, functional PBE.

Summary:
For the uncorrected formation energy, the calculation gives 0.21 eV/f.u. As for the density of states at the Fermi level: 23.476 states/eV per cell. For the magnetization, the calculation gives 3.30 μB per formula unit. The uncorrected energy comes out at -6.3717 eV per atom. The calculation puts the relative energy among the computed polymorphs at 303 meV per atom.

Cell: 14.955 5.254 6.181 Å, 90.00 93.44 90.00°
Space group C2/c (No. 15)
Symmetry-distinct sites (fractional):
Ti 0.068 0.114 0.404 (multiplicity 8)
Ti 0.150 0.308 0.060 (multiplicity 8)
In 0.250 0.250 0.500 (multiplicity 4)
Sb 0.000 0.387 0.750 (multiplicity 4)



Entry 2:
Pr8Sn5As after structural relaxation. Source: Alexandria via LeMat-Bulk, functional PBE.

Summary:
The value obtained for the formation energy is -1108 kJ/mol of formula units. As for the density of states at the Fermi level: 14.800 states/eV per cell. For the magnetization, the calculation gives 0.00 μB per formula unit. The uncorrected energy comes out at -5.3134 eV per atom.

Cell: 9.571 9.571 9.636 Å, 90.00 90.00 90.00°
Space group I-4 (No. 82)
Symmetry-distinct sites (fractional):
Pr 0.069 0.309 0.053 (multiplicity 8)
Pr 0.070 0.179 0.696 (multiplicity 8)
Sn 0.000 0.500 0.750 (multiplicity 2)
Sn 0.123 0.252 0.376 (multiplicity 8)
As 0.000 0.000 0.000 (multiplicity 2)